# 1
This record from Alexandria via LeMat-Bulk describes a geometry-optimized TeRh2W structure. The functional is PBE-GGA.

a b c (Å): 5.8105 5.8105 7.0085
angles (deg): 65.51 65.51 90.00
Closest atoms and distances in Å follow each position.
Fractional positions:
Te  0.5000  0.5000  0.0000  4 Rh 2.58
Te  0.2500  0.7500  0.5000  4 Rh 2.58
Rh  0.6493  0.1250  0.2500  2 W 2.42, 2 Te 2.58
Rh  0.1007  0.6250  0.2500  2 W 2.42, 2 Te 2.58
Rh  0.3750  0.3507  0.7500  2 W 2.42, 2 Te 2.58
Rh  0.8750  0.8993  0.7500  2 W 2.42, 2 Te 2.58
W  0.0000  0.0000  0.0000  4 Rh 2.42
W  0.7500  0.2500  0.5000  4 Rh 2.42

Values from the calculation:
symmetry: No. 122
crystal system: tetragonal

# 2
This record from Alexandria via LeMat-Bulk describes a geometry-optimized Te3RhW structure. The functional is PBE-GGA.

a b c (Å): 5.0632 5.0632 5.0632
angles (deg): 90.00 90.00 90.00
Closest atoms and distances in Å follow each position.
Fractional positions:
Te  0.0000  0.5000  0.0000  2 Rh 2.53
Te  0.0000  0.0000  0.5000  2 Rh 2.53
Te  0.5000  0.0000  0.0000  2 Rh 2.53
Rh  0.0000  0.0000  0.0000  6 Te 2.53
W  0.5000  0.5000  0.5000  12 Te 3.58

Values from the calculation:
symmetry: No. 221
energy above the most stable polymorph in this dataset: 177 meV per atom
crystal system: cubic

# 3
This record from Alexandria via LeMat-Bulk describes a geometry-optimized TeRh2W structure. The functional is PBE-GGA.

a b c (Å): 5.7032 5.7032 5.7032
angles (deg): 149.65 132.59 57.34
Closest atoms and distances in Å follow each position.
Fractional positions:
Te  0.5071  0.5071  0.0000  6 Rh 2.71-2.76, 2 W 2.79, 2 Te 2.99
Rh  0.9691  0.9691  0.0000  2 W 2.72, 4 Te 2.76, 4 Rh 2.96-2.99
Rh  0.2814  0.7814  0.5000  2 Te 2.71, 4 W 2.76, 4 Rh 2.96-2.99
W  0.7424  0.2424  0.5000  6 Rh 2.72-2.76, 2 Te 2.79, 2 W 2.99

Values from the calculation:
symmetry: No. 44
crystal system: orthorhombic

# 4
This record from Alexandria via LeMat-Bulk describes a geometry-optimized Y5TeRh2 structure. The functional is PBE-GGA.

a b c (Å): 7.7202 7.7202 8.7744
angles (deg): 116.10 116.10 90.00
Closest atoms and distances in Å follow each position.
Fractional positions:
Y  0.5188  0.7079  0.7267  3 Rh 2.91-2.96
Y  0.7921  0.9812  0.2733  3 Rh 2.91-2.96
Y  0.0000  0.0000  0.0000  4 Rh 2.98
Y  0.5000  0.5000  0.0000  4 Rh 2.98
Y  0.2079  0.0188  0.7267  3 Rh 2.91-2.96
Y  0.7079  0.2079  0.7267  3 Rh 2.91-2.96
Y  0.0188  0.5188  0.7267  3 Rh 2.91-2.96
Y  0.2921  0.7921  0.2733  3 Rh 2.91-2.96
Y  0.9812  0.4812  0.2733  3 Rh 2.91-2.96
Y  0.4812  0.2921  0.2733  3 Rh 2.91-2.96
Te  0.7500  0.7500  0.5000  10 Y 3.31-3.43
Te  0.2500  0.2500  0.5000  10 Y 3.31-3.43
Rh  0.1412  0.3588  0.0000  8 Y 2.91-2.98, 1 Rh 3.08
Rh  0.6412  0.1412  0.0000  8 Y 2.91-2.98, 1 Rh 3.08
Rh  0.3588  0.8588  0.0000  8 Y 2.91-2.98, 1 Rh 3.08
Rh  0.8588  0.6412  0.0000  8 Y 2.91-2.98, 1 Rh 3.08

Values from the calculation:
symmetry: No. 140
crystal system: tetragonal

# 5
This record from Alexandria via LeMat-Bulk describes a geometry-optimized Y4TeRh structure. The functional is PBE-GGA.

a b c (Å): 6.2448 8.0934 8.2113
angles (deg): 114.49 106.19 101.87
Closest atoms and distances in Å follow each position.
Fractional positions:
Y  0.3465  0.9386  0.6409  2 Rh 3.01-3.09, 2 Te 3.20-3.22
Y  0.9848  0.7887  0.1310  2 Rh 2.80-2.87, 1 Te 3.13
Y  0.2056  0.2977  0.3591  2 Rh 3.01-3.09, 2 Te 3.20-3.22
Y  0.3538  0.6577  0.8690  2 Rh 2.80-2.87, 1 Te 3.13
Y  0.6535  0.0614  0.3591  2 Rh 3.01-3.09, 2 Te 3.20-3.22
Y  0.7944  0.7023  0.6409  2 Rh 3.01-3.09, 2 Te 3.20-3.22
Y  0.0152  0.2113  0.8690  2 Rh 2.80-2.87, 1 Te 3.13
Y  0.6462  0.3423  0.1310  2 Rh 2.80-2.87, 1 Te 3.13
Te  0.3776  0.6276  0.2553  8 Y 3.13-3.25
Te  0.6224  0.3724  0.7447  8 Y 3.13-3.25
Rh  0.7524  0.0024  0.0048  8 Y 2.80-3.09, 2 Rh 3.12
Rh  0.2476  0.9976  0.9952  8 Y 2.80-3.09, 2 Rh 3.12

Values from the calculation:
symmetry: No. 15
energy above the most stable polymorph in this dataset: 93 meV per atom
crystal system: monoclinic

# 6
This record from Alexandria via LeMat-Bulk describes a geometry-optimized Y8Te2Rh3 structure. The functional is PBE-GGA.

a b c (Å): 4.8558 9.7758 8.9678
angles (deg): 122.97 90.00 90.00
Closest atoms and distances in Å follow each position.
Fractional positions:
Y  0.0000  0.6080  0.2156  2 Rh 2.96-2.97, 2 Te 3.18, 1 Y 3.24
Y  0.0000  0.3920  0.7844  2 Rh 2.96-2.97, 2 Te 3.18, 1 Y 3.24
Y  0.0000  0.1133  0.2264  4 Rh 2.95-2.97, 2 Te 3.24
Y  0.0000  0.8867  0.7736  4 Rh 2.95-2.97, 2 Te 3.24
Y  0.5000  0.6424  0.7793  3 Rh 2.93-2.94, 2 Te 3.19-3.26
Y  0.5000  0.1361  0.7783  3 Rh 2.93-2.94, 2 Te 3.19-3.26
Y  0.5000  0.8639  0.2217  3 Rh 2.93-2.94, 2 Te 3.19-3.26
Y  0.5000  0.3576  0.2207  3 Rh 2.93-2.94, 2 Te 3.19-3.26
Te  0.5000  0.2559  0.5113  8 Y 3.18-3.26
Te  0.5000  0.7441  0.4887  8 Y 3.18-3.26
Rh  0.5000  0.0000  0.0000  8 Y 2.93-2.97
Rh  0.0000  0.2463  0.9997  8 Y 2.94-2.97
Rh  0.0000  0.7537  0.0003  8 Y 2.94-2.97

Values from the calculation:
symmetry: No. 10
crystal system: monoclinic

# 7
This record from Alexandria via LeMat-Bulk describes a geometry-optimized Y5Te4Rh structure. The functional is PBE-GGA.

a b c (Å): 4.2640 4.2640 15.9045
angles (deg): 97.70 97.70 90.00
Closest atoms and distances in Å follow each position.
Fractional positions:
Y  0.0833  0.0833  0.1666  1 Rh 2.60
Y  0.5000  0.5000  0.0000  4 Rh 3.02, 2 Te 3.28
Y  0.9167  0.9167  0.8334  1 Rh 2.60
Y  0.2895  0.2895  0.5791  6 Te 3.08-3.29
Y  0.7105  0.7105  0.4209  6 Te 3.08-3.29
Te  0.3950  0.3950  0.7900  6 Y 3.09-3.29
Te  0.8098  0.8098  0.6195  6 Y 3.08-3.34
Te  0.1902  0.1902  0.3805  6 Y 3.08-3.34
Te  0.6050  0.6050  0.2100  6 Y 3.09-3.29
Rh  0.0000  0.0000  0.0000  2 Y 2.60

Values from the calculation:
symmetry: No. 139
crystal system: tetragonal

# 8
This record from Alexandria via LeMat-Bulk describes a geometry-optimized Y2TeRh structure. The functional is PBE-GGA.

a b c (Å): 7.1396 7.1396 7.1396
angles (deg): 35.93 35.93 35.93
Closest atoms and distances in Å follow each position.
Fractional positions:
Rh  0.4727  0.4727  0.4727  3 Te 2.59
Te  0.7818  0.7818  0.7818  3 Rh 2.59
Y  0.0288  0.0288  0.0288  3 Te 3.07, 3 Rh 3.37
Y  0.2167  0.2167  0.2167  3 Rh 2.98, 3 Te 3.26

Values from the calculation:
symmetry: No. 160
crystal system: trigonal

For reference, uncorrected energy by record: -7.152; -4.639; -7.411; -7.079; -6.757; -6.868; -6.427; -6.448 eV/atom.